DFT (GGA-PBE) results for a geometry-optimized PmPrSeO structure.

## Properties
* crystal system: trigonal
* energy: -6.7384 eV per atom
* N(E_F): 3.748 states/eV/cell
* space-group type: R-3m, No. 166
* uncorrected formation energy: -2245 meV/atom

POSCAR file:
```
PmPrSeO
1.0
1.992 1.150 14.101
-1.992 1.150 14.101
0.000 -2.300 14.101
Pm Pr Se O
2 2 2 2
Direct
0.242 0.242 0.242
0.758 0.758 0.758
0.000 0.000 0.000
0.500 0.500 0.500
0.378 0.378 0.378
0.622 0.622 0.622
0.191 0.191 0.191
0.809 0.809 0.809
```